Entry 1:
## BeCr2In (GGA-PBE)

Data for a relaxed structure of BeCr2In.

Geometry as CIF:
```
data_BeCr2In
_cell_length_a 4.3959
_cell_length_b 4.3959
_cell_length_c 4.3959
_cell_angle_alpha 60.00
_cell_angle_beta 60.00
_cell_angle_gamma 60.00
_space_group_name_H-M_alt 'P 1'
_space_group_IT_number 1
_space_group_name_Hall 'P 1'
loop_
_atom_site_label
_atom_site_type_symbol
_atom_site_fract_x
_atom_site_fract_y
_atom_site_fract_z
Cr1 Cr 0.2500 0.2500 0.2500
Cr2 Cr 0.7500 0.7500 0.7500
Be1 Be 0.0000 0.0000 0.0000
In1 In 0.5000 0.5000 0.5000
```

Calculated values
- Calculated total energy: -5.9293 eV per atom
- Energy above the most stable polymorph in this dataset: 1.07 eV per formula unit
- Formation energy: 0.499 eV/atom

Entry 2:
## Be2CrIn (GGA-PBE)

Data for a relaxed structure of Be2CrIn.

Geometry as CIF:
```
data_Be2CrIn
_cell_length_a 4.3583
_cell_length_b 4.3583
_cell_length_c 4.8473
_cell_angle_alpha 81.71
_cell_angle_beta 81.71
_cell_angle_gamma 36.12
_space_group_name_H-M_alt 'P 1'
_space_group_IT_number 1
_space_group_name_Hall 'P 1'
loop_
_atom_site_label
_atom_site_type_symbol
_atom_site_fract_x
_atom_site_fract_y
_atom_site_fract_z
Cr1 Cr 0.7500 0.7500 0.7500
Be1 Be 0.0154 0.0154 0.9136
Be2 Be 0.4846 0.4846 0.5864
In1 In 0.2500 0.2500 0.2500
```

Calculated values
- Calculated total energy: -4.5186 eV per atom
- Formation energy: 0.435 eV/atom

Entry 3:
## BeCr2In (GGA-PBE)

Data for a relaxed structure of BeCr2In.

Geometry as CIF:
```
data_BeCr2In
_cell_length_a 7.9817
_cell_length_b 7.9817
_cell_length_c 7.9817
_cell_angle_alpha 21.11
_cell_angle_beta 21.11
_cell_angle_gamma 21.11
_space_group_name_H-M_alt 'P 1'
_space_group_IT_number 1
_space_group_name_Hall 'P 1'
loop_
_atom_site_label
_atom_site_type_symbol
_atom_site_fract_x
_atom_site_fract_y
_atom_site_fract_z
Cr1 Cr 0.0154 0.0154 0.0154
Cr2 Cr 0.4846 0.4846 0.4846
Be1 Be 0.7500 0.7500 0.7500
In1 In 0.2500 0.2500 0.2500
```

Calculated values
- Calculated total energy: -5.8137 eV per atom
- Energy above the most stable polymorph in this dataset: 1.53 eV per formula unit
- Formation energy: 0.614 eV/atom

Entry 4:
## Be3CrIn (GGA-PBE)

Data for a relaxed structure of Be3CrIn.

Geometry as CIF:
```
data_Be3CrIn
_cell_length_a 4.3634
_cell_length_b 4.3634
_cell_length_c 4.3634
_cell_angle_alpha 90.00
_cell_angle_beta 90.00
_cell_angle_gamma 90.00
_space_group_name_H-M_alt 'P 1'
_space_group_IT_number 1
_space_group_name_Hall 'P 1'
loop_
_atom_site_label
_atom_site_type_symbol
_atom_site_fract_x
_atom_site_fract_y
_atom_site_fract_z
Cr1 Cr 0.5000 0.5000 0.5000
Be1 Be 0.0000 0.5000 0.0000
Be2 Be 0.0000 0.0000 0.5000
Be3 Be 0.5000 0.0000 0.0000
In1 In 0.0000 0.0000 0.0000
```

Calculated values
- Calculated total energy: -2.9419 eV per atom
- Energy above the most stable polymorph in this dataset: 3.31 eV per formula unit
- Formation energy: 1.766 eV/atom

Entry 5:
## Be2CrIn (GGA-PBE)

Data for a relaxed structure of Be2CrIn.

Geometry as CIF:
```
data_Be2CrIn
_cell_length_a 6.4816
_cell_length_b 6.4816
_cell_length_c 5.2780
_cell_angle_alpha 52.12
_cell_angle_beta 52.12
_cell_angle_gamma 90.00
_space_group_name_H-M_alt 'P 1'
_space_group_IT_number 1
_space_group_name_Hall 'P 1'
loop_
_atom_site_label
_atom_site_type_symbol
_atom_site_fract_x
_atom_site_fract_y
_atom_site_fract_z
Cr1 Cr 0.5000 0.5000 0.0000
Cr2 Cr 0.2500 0.7500 0.5000
Be1 Be 0.6045 0.1250 0.2500
Be2 Be 0.1455 0.6250 0.2500
Be3 Be 0.3750 0.3955 0.7500
Be4 Be 0.8750 0.8545 0.7500
In1 In 0.0000 0.0000 0.0000
In2 In 0.7500 0.2500 0.5000
```

Calculated values
- Calculated total energy: -4.1813 eV per atom
- Formation energy: 0.772 eV/atom

Entry 6:
## Be2CrIn (GGA-PBE)

Data for a relaxed structure of Be2CrIn.

Geometry as CIF:
```
data_Be2CrIn
_cell_length_a 3.8160
_cell_length_b 3.8158
_cell_length_c 3.4670
_cell_angle_alpha 90.00
_cell_angle_beta 90.00
_cell_angle_gamma 90.00
_space_group_name_H-M_alt 'P 1'
_space_group_IT_number 1
_space_group_name_Hall 'P 1'
loop_
_atom_site_label
_atom_site_type_symbol
_atom_site_fract_x
_atom_site_fract_y
_atom_site_fract_z
Cr1 Cr 0.5000 0.0000 0.5000
Be1 Be 0.0000 0.0000 0.0000
Be2 Be 0.5000 0.5000 0.0000
In1 In 0.0000 0.5000 0.5000
```

Calculated values
- Calculated total energy: -4.6248 eV per atom
- Formation energy: 0.329 eV/atom

Entry 7:
## BeCrIn2Ir (GGA-PBE)

Data for a relaxed structure of BeCrIn2Ir.

Geometry as CIF:
```
data_BeCrIn2Ir
_cell_length_a 5.0875
_cell_length_b 4.4609
_cell_length_c 5.0875
_cell_angle_alpha 90.00
_cell_angle_beta 90.00
_cell_angle_gamma 90.00
_space_group_name_H-M_alt 'P 1'
_space_group_IT_number 1
_space_group_name_Hall 'P 1'
loop_
_atom_site_label
_atom_site_type_symbol
_atom_site_fract_x
_atom_site_fract_y
_atom_site_fract_z
Cr1 Cr 0.0000 0.0000 0.0000
Ir1 Ir 0.0000 0.5000 0.0000
Be1 Be 0.5000 0.5000 0.5000
In1 In 0.0000 0.0000 0.5000
In2 In 0.5000 0.0000 0.0000
```

Calculated values
- Calculated total energy: -4.3448 eV per atom
- Formation energy: 1.193 eV/atom

Entry 8:
## BeCrInMo2 (GGA-PBE)

Data for a relaxed structure of BeCrInMo2.

Geometry as CIF:
```
data_BeCrInMo2
_cell_length_a 4.3311
_cell_length_b 4.0566
_cell_length_c 4.3311
_cell_angle_alpha 90.00
_cell_angle_beta 90.00
_cell_angle_gamma 90.00
_space_group_name_H-M_alt 'P 1'
_space_group_IT_number 1
_space_group_name_Hall 'P 1'
loop_
_atom_site_label
_atom_site_type_symbol
_atom_site_fract_x
_atom_site_fract_y
_atom_site_fract_z
Cr1 Cr 0.0000 0.5000 0.0000
Mo1 Mo 0.0000 0.0000 0.5000
Mo2 Mo 0.5000 0.0000 0.0000
Be1 Be 0.0000 0.0000 0.0000
In1 In 0.5000 0.5000 0.5000
```

Calculated values
- Calculated total energy: -6.8505 eV per atom
- Formation energy: 0.700 eV/atom